Version 1
Here is a geometry-optimized LiCrCo2 structure from the Alexandria database. Energies are from PBE.

Cell: 2.742 3.962 8.586 Å, 90.00 90.00 90.00°
Space group Cmm2 (No. 35)
Unique sites:
Li 0.000 0.000 0.000
Cr 0.000 0.500 0.724
Co 0.000 0.000 0.487
Co 0.000 0.500 0.252

Calculated values
theoretical density = 6.3 g/cm3
total magnetic moment = 2.9 μB per formula unit



Version 2
Here is a geometry-optimized LiCrCo2 structure from the Alexandria database. Energies are from PBE.

Cell: 2.367 3.935 4.833 Å, 90.00 98.78 90.00°
Space group P2/m (No. 10)
Unique sites:
Li 0.000 0.000 0.000
Cr 0.500 0.000 0.500
Co 0.259 0.500 0.748

Calculated values
theoretical density = 6.6 g/cm3
total magnetic moment = 3.0 μB per formula unit



Computed relative energies in units of meV/atom: version 1 0; version 2 20



Version 1
Here is a geometry-optimized LiCrCo2 structure from the Alexandria database. Energies are from PBE.

Cell: 5.034 7.824 2.375 Å, 90.00 106.58 90.00°
Space group C2/m (No. 12)
Unique sites:
Li 0.000 0.000 0.000
Cr 0.000 0.500 0.000
Co 0.250 0.250 0.500

Calculated values
theoretical density = 6.5 g/cm3
total magnetic moment = 3.5 μB per formula unit



Version 2
Here is a geometry-optimized LiCrCo2 structure from the Alexandria database. Energies are from PBE.

Cell: 2.895 2.895 5.656 Å, 90.00 90.00 90.00°
Space group P4mm (No. 99)
Unique sites:
Li 0.000 0.000 0.000
Cr 0.500 0.500 0.710
Co 0.000 0.000 0.474
Co 0.500 0.500 0.243

Calculated values
theoretical density = 6.2 g/cm3
total magnetic moment = 5.1 μB per formula unit



Computed relative energies in units of meV/atom: version 1 0; version 2 108